# 1
First-principles (GGA-PBE) data for a relaxed Nd2TmZn3Pt4 crystal, as listed in Alexandria.

## Properties
* calculated density: 11.694 g cm⁻³
* total DFT energy (no corrections): -5.045 eV per atom

abc: 4.173 4.173 11.690
angles: 90.00 90.00 90.00
Positions (direct):
Nd (0.000, 0.500, 0.226)
Nd (0.500, 0.000, 0.774)
Tm (0.000, 0.000, 0.500)
Zn (0.000, 0.500, 0.873)
Zn (0.500, 0.000, 0.127)
Zn (0.500, 0.500, 0.500)
Pt (0.000, 0.000, 0.000)
Pt (0.000, 0.500, 0.656)
Pt (0.500, 0.000, 0.344)
Pt (0.500, 0.500, 0.000)

# 2
First-principles (GGA-PBE) data for a relaxed NdTmZnPt crystal, as listed in Alexandria.

## Properties
* calculated density: 10.527 g cm⁻³
* energy above the most stable polymorph in this dataset: 3.89 kJ/mol of atoms

abc: 5.039 5.039 5.039
angles: 60.00 60.00 60.00
Positions (direct):
Nd (0.000, 0.000, 0.000)
Tm (0.500, 0.500, 0.500)
Zn (0.250, 0.250, 0.250)
Pt (0.750, 0.750, 0.750)

# 3
First-principles (GGA-PBE) data for a relaxed NdTmZnPt crystal, as listed in Alexandria.

## Properties
* calculated density: 10.142 g cm⁻³
* energy above the most stable polymorph in this dataset: 0.00 kJ/mol of atoms

abc: 4.423 5.808 5.808
angles: 39.02 90.00 90.00
Positions (direct):
Nd (0.000, 0.000, 0.000)
Tm (0.500, 0.717, 0.717)
Zn (0.500, 0.427, 0.427)
Pt (0.000, 0.278, 0.278)

# 4
First-principles (GGA-PBE) data for a relaxed NdUPt4 crystal, as listed in Alexandria.

## Properties
* calculated density: 16.612 g cm⁻³
* total DFT energy (no corrections): -7.507 eV per atom

abc: 5.478 5.478 5.478
angles: 60.00 60.00 60.00
Positions (direct):
Nd (0.000, 0.000, 0.000)
U (0.250, 0.250, 0.250)
Pt (0.126, 0.625, 0.625)
Pt (0.625, 0.126, 0.625)
Pt (0.625, 0.625, 0.126)
Pt (0.625, 0.625, 0.625)

# 5
First-principles (GGA-PBE) data for a relaxed NdU2Pt9 crystal, as listed in Alexandria.

## Properties
* calculated density: 18.131 g cm⁻³
* total DFT energy (no corrections): -7.608 eV per atom

abc: 4.173 4.173 12.499
angles: 90.00 90.00 90.00
Positions (direct):
Nd (0.000, 0.000, 0.000)
U (0.000, 0.000, 0.334)
U (0.000, 0.000, 0.666)
Pt (0.000, 0.500, 0.173)
Pt (0.000, 0.500, 0.500)
Pt (0.000, 0.500, 0.827)
Pt (0.500, 0.000, 0.173)
Pt (0.500, 0.000, 0.500)
Pt (0.500, 0.000, 0.827)
Pt (0.500, 0.500, 0.000)
Pt (0.500, 0.500, 0.335)
Pt (0.500, 0.500, 0.665)

# 6
First-principles (GGA-PBE) data for a relaxed NdVPt4 crystal, as listed in Alexandria.

## Properties
* calculated density: 14.828 g cm⁻³
* total DFT energy (no corrections): -6.968 eV per atom

abc: 7.925 3.927 7.020
angles: 90.00 90.00 90.00
Positions (direct):
Nd (0.250, 0.000, 0.145)
Nd (0.750, 0.000, 0.855)
V (0.250, 0.000, 0.724)
V (0.750, 0.000, 0.276)
Pt (0.000, 0.000, 0.500)
Pt (0.057, 0.500, 0.817)
Pt (0.250, 0.500, 0.480)
Pt (0.443, 0.500, 0.817)
Pt (0.500, 0.000, 0.500)
Pt (0.557, 0.500, 0.183)
Pt (0.750, 0.500, 0.520)
Pt (0.943, 0.500, 0.183)

# 7
First-principles (GGA-PBE) data for a relaxed NdY3Pt crystal, as listed in Alexandria.

## Properties
* calculated density: 6.030 g cm⁻³
* energy above the most stable polymorph in this dataset: 4.40 kJ/mol of atoms

abc: 5.506 5.506 5.506
angles: 90.00 90.00 90.00
Positions (direct):
Nd (0.000, 0.000, 0.000)
Y (0.000, 0.500, 0.500)
Y (0.500, 0.000, 0.500)
Y (0.500, 0.500, 0.000)
Pt (0.500, 0.500, 0.500)

# 8
First-principles (GGA-PBE) data for a relaxed Nd2YPt crystal, as listed in Alexandria.

## Properties
* calculated density: 7.374 g cm⁻³
* energy above the most stable polymorph in this dataset: 20.31 kJ/mol of atoms

abc: 9.604 9.604 9.604
angles: 24.01 24.01 24.01
Positions (direct):
Nd (0.000, 0.000, 0.000)
Nd (0.208, 0.208, 0.208)
Y (0.438, 0.438, 0.438)
Pt (0.604, 0.604, 0.604)

# 9
First-principles (GGA-PBE) data for a relaxed NdYPt crystal, as listed in Alexandria.

## Properties
* calculated density: 7.979 g cm⁻³
* energy above the most stable polymorph in this dataset: 5.45 kJ/mol of atoms

abc: 7.089 5.882 10.843
angles: 90.00 127.95 90.00
Positions (direct):
Nd (0.192, 0.147, 0.378)
Nd (0.192, 0.353, 0.878)
Nd (0.808, 0.647, 0.122)
Nd (0.808, 0.853, 0.622)
Y (0.325, 0.627, 0.631)
Y (0.325, 0.873, 0.131)
Y (0.675, 0.127, 0.869)
Y (0.675, 0.373, 0.369)
Pt (0.327, 0.658, 0.365)
Pt (0.327, 0.842, 0.865)
Pt (0.673, 0.158, 0.135)
Pt (0.673, 0.342, 0.635)

# 10
First-principles (GGA-PBE) data for a relaxed NdYPt crystal, as listed in Alexandria.

## Properties
* calculated density: 8.660 g cm⁻³
* energy above the most stable polymorph in this dataset: 5.98 kJ/mol of atoms

abc: 3.565 6.859 7.272
angles: 106.39 90.05 105.02
Positions (direct):
Nd (0.133, 0.265, 0.066)
Nd (0.867, 0.735, 0.934)
Y (0.132, 0.264, 0.562)
Y (0.868, 0.736, 0.438)
Pt (0.491, 0.982, 0.266)
Pt (0.509, 0.018, 0.734)

# 11
First-principles (GGA-PBE) data for a relaxed NdY3Pt2 crystal, as listed in Alexandria.

## Properties
* calculated density: 8.565 g cm⁻³
* total DFT energy (no corrections): -6.949 eV per atom

abc: 4.822 8.910 7.229
angles: 90.00 90.00 90.00
Positions (direct):
Nd (0.000, 0.082, 0.000)
Nd (0.000, 0.918, 0.500)
Y (0.000, 0.335, 0.634)
Y (0.000, 0.665, 0.134)
Y (0.500, 0.173, 0.349)
Y (0.500, 0.420, 0.981)
Y (0.500, 0.580, 0.481)
Y (0.500, 0.827, 0.849)
Pt (0.000, 0.346, 0.235)
Pt (0.000, 0.654, 0.735)
Pt (0.500, 0.162, 0.745)
Pt (0.500, 0.838, 0.245)

# 12
First-principles (GGA-PBE) data for a relaxed Nd2YPt crystal, as listed in Alexandria.

## Properties
* calculated density: 7.109 g cm⁻³
* energy above the most stable polymorph in this dataset: 39.66 kJ/mol of atoms

abc: 10.951 10.951 10.951
angles: 19.95 19.95 19.95
Positions (direct):
Nd (0.109, 0.109, 0.109)
Nd (0.891, 0.891, 0.891)
Y (0.000, 0.000, 0.000)
Pt (0.500, 0.500, 0.500)

# 13
First-principles (GGA-PBE) data for a relaxed NdYPt crystal, as listed in Alexandria.

## Properties
* calculated density: 8.576 g cm⁻³
* energy above the most stable polymorph in this dataset: 0.00 kJ/mol of atoms

abc: 6.389 6.389 6.919
angles: 90.00 90.00 144.04
Positions (direct):
Nd (0.000, 0.000, 0.000)
Nd (0.000, 0.000, 0.500)
Y (0.285, 0.715, 0.750)
Y (0.715, 0.285, 0.250)
Pt (0.379, 0.621, 0.250)
Pt (0.621, 0.379, 0.750)

# 14
First-principles (GGA-PBE) data for a relaxed NdYPt crystal, as listed in Alexandria.

## Properties
* calculated density: 8.705 g cm⁻³
* energy above the most stable polymorph in this dataset: 15.78 kJ/mol of atoms

abc: 4.691 4.691 4.286
angles: 90.00 90.00 120.00
Positions (direct):
Nd (0.000, 0.000, 0.000)
Y (0.667, 0.333, 0.521)
Pt (0.333, 0.667, 0.314)

# 15
First-principles (GGA-PBE) data for a relaxed NdY2Pt9 crystal, as listed in Alexandria.

## Properties
* calculated density: 15.217 g cm⁻³
* total DFT energy (no corrections): -6.953 eV per atom

abc: 9.389 9.389 9.389
angles: 33.68 33.68 33.68
Positions (direct):
Nd (0.000, 0.000, 0.000)
Y (0.140, 0.140, 0.140)
Y (0.860, 0.860, 0.860)
Pt (0.081, 0.588, 0.588)
Pt (0.333, 0.333, 0.333)
Pt (0.412, 0.412, 0.919)
Pt (0.412, 0.919, 0.412)
Pt (0.500, 0.500, 0.500)
Pt (0.588, 0.081, 0.588)
Pt (0.588, 0.588, 0.081)
Pt (0.667, 0.667, 0.667)
Pt (0.919, 0.412, 0.412)

# 16
First-principles (GGA-PBE) data for a relaxed Nd3YPt8 crystal, as listed in Alexandria.

## Properties
* calculated density: 14.694 g cm⁻³
* total DFT energy (no corrections): -6.828 eV per atom

abc: 9.531 9.531 9.531
angles: 33.53 33.53 33.53
Positions (direct):
Nd (0.000, 0.000, 0.000)
Nd (0.126, 0.126, 0.126)
Nd (0.501, 0.501, 0.501)
Y (0.626, 0.626, 0.626)
Pt (0.061, 0.563, 0.563)
Pt (0.064, 0.064, 0.564)
Pt (0.064, 0.564, 0.064)
Pt (0.313, 0.313, 0.313)
Pt (0.563, 0.061, 0.563)
Pt (0.563, 0.563, 0.061)
Pt (0.564, 0.064, 0.064)
Pt (0.813, 0.813, 0.813)

# 17
First-principles (GGA-PBE) data for a relaxed Nd3YPt3 crystal, as listed in Alexandria.

## Properties
* calculated density: 9.966 g cm⁻³
* total DFT energy (no corrections): -6.474 eV per atom

abc: 7.147 7.147 7.287
angles: 90.72 90.72 97.62
Positions (direct):
Nd (0.176, 0.824, 0.000)
Nd (0.250, 0.750, 0.500)
Nd (0.337, 0.337, 0.123)
Nd (0.663, 0.663, 0.877)
Nd (0.750, 0.250, 0.500)
Nd (0.824, 0.176, 0.000)
Y (0.253, 0.253, 0.620)
Y (0.747, 0.747, 0.380)
Pt (0.027, 0.493, 0.784)
Pt (0.061, 0.061, 0.310)
Pt (0.493, 0.027, 0.784)
Pt (0.507, 0.973, 0.216)
Pt (0.939, 0.939, 0.690)
Pt (0.973, 0.507, 0.216)

# 18
First-principles (GGA-PBE) data for a relaxed NdY3Pt crystal, as listed in Alexandria.

## Properties
* calculated density: 6.286 g cm⁻³
* energy above the most stable polymorph in this dataset: 0.00 kJ/mol of atoms

abc: 7.707 6.747 6.158
angles: 90.00 90.00 90.00
Positions (direct):
Nd (0.000, 0.142, 0.000)
Nd (0.500, 0.858, 0.500)
Y (0.000, 0.848, 0.487)
Y (0.245, 0.306, 0.497)
Y (0.255, 0.694, 0.997)
Y (0.500, 0.152, 0.987)
Y (0.745, 0.694, 0.997)
Y (0.755, 0.306, 0.497)
Pt (0.000, 0.509, 0.749)
Pt (0.500, 0.491, 0.249)

# 19
First-principles (GGA-PBE) data for a relaxed NdYPt crystal, as listed in Alexandria.

## Properties
* calculated density: 8.255 g cm⁻³
* energy above the most stable polymorph in this dataset: 2.17 kJ/mol of atoms

abc: 4.957 4.957 4.957
angles: 60.00 60.00 60.00
Positions (direct):
Nd (0.000, 0.000, 0.000)
Y (0.500, 0.500, 0.500)
Pt (0.750, 0.750, 0.750)

# 20
First-principles (GGA-PBE) data for a relaxed NdY3Pt8 crystal, as listed in Alexandria.

## Properties
* calculated density: 14.108 g cm⁻³
* total DFT energy (no corrections): -7.082 eV per atom

abc: 5.477 5.477 8.933
angles: 90.00 90.00 120.00
Positions (direct):
Nd (0.000, 0.000, 0.000)
Y (0.000, 0.000, 0.373)
Y (0.667, 0.333, 0.497)
Y (0.667, 0.333, 0.864)
Pt (0.165, 0.329, 0.682)
Pt (0.165, 0.835, 0.682)
Pt (0.333, 0.667, 0.433)
Pt (0.333, 0.667, 0.933)
Pt (0.502, 0.005, 0.185)
Pt (0.502, 0.498, 0.185)
Pt (0.671, 0.835, 0.682)
Pt (0.995, 0.498, 0.185)